# 1
Density functional theory data (PBE) for crystalline Ac2LaGa at its relaxed geometry.

The structure in POSCAR format:
```
Ac2LaGa
1.0
-2.466 0.973 2.921
2.309 -1.892 2.579
4.767 7.776 1.436
Ac Ga La
2 1 1
Direct
0.000 0.000 0.796 Ac
0.000 0.000 0.204 Ac
0.500 0.500 0.000 Ga
0.500 0.500 0.500 La
```

Values from the calculation:
formation energy = -0.20 eV per atom
symmetry = P4/mmm (123)
DOS(E_F) = 1.121 states/eV/atom
energy above the most stable polymorph in this dataset = 0 meV/atom
calculated volume = 35.9 Å³/atom

***

# 2
Density functional theory data (PBE) for crystalline Ac2LaGa at its relaxed geometry.

The structure in POSCAR format:
```
Ac2LaGa
1.0
-1.174 -1.010 -3.669
2.659 -0.185 -2.959
2.348 -11.009 0.119
Ac La Ga
2 1 1
Direct
0.070 0.070 0.789 Ac
0.263 0.263 0.211 Ac
0.500 0.500 0.500 La
0.667 0.667 0.000 Ga
```

Values from the calculation:
formation energy = -0.10 eV per atom
symmetry = R3m (160)
DOS(E_F) = 1.373 states/eV/atom
energy above the most stable polymorph in this dataset = 97 meV/atom
calculated volume = 37.9 Å³/atom

***

# 3
Density functional theory data (PBE) for crystalline AcLa3Ga2 at its relaxed geometry.

The structure in POSCAR format:
```
AcLa3Ga2
1.0
-2.196 -2.952 3.117
-4.299 -2.686 -9.303
8.308 -3.088 2.930
Ac La Ga
2 6 4
Direct
0.885 0.769 0.914 Ac
0.115 0.231 0.086 Ac
0.316 0.633 0.568 La
0.950 0.900 0.583 La
0.650 0.301 0.821 La
0.350 0.699 0.179 La
0.050 0.100 0.417 La
0.684 0.367 0.432 La
0.497 0.993 0.848 Ga
0.503 0.007 0.152 Ga
0.770 0.540 0.249 Ga
0.230 0.460 0.751 Ga
```

Values from the calculation:
formation energy = -0.35 eV per atom
symmetry = C2/m (12)
DOS(E_F) = 1.117 states/eV/atom
energy above the most stable polymorph in this dataset = 29 meV/atom
calculated volume = 31.9 Å³/atom